# 1
# PBE NaVCd, optimized geometry
# * offset from the most stable computed form: 0.7243 eV per atom
# * symmetry: No. 216
# * total moment: 3.9 μB per cell
# * electronic total energy: -8.72 eV per cell
# * calculated formation energy: 0.8787 eV/atom
# * Fermi-level density of states: 5.676 states/eV per cell
data_NaVCd
_symmetry_space_group_name_H-M 'P 1'
_symmetry_Int_Tables_number 1
_cell_length_a 4.8386
_cell_length_b 4.8386
_cell_length_c 4.8386
_cell_angle_alpha 60.00
_cell_angle_beta 60.00
_cell_angle_gamma 60.00
loop_
_symmetry_equiv_pos_as_xyz
'x,y,z'
loop_
_atom_site_label
_atom_site_fract_x
_atom_site_fract_y
_atom_site_fract_z
Na1 0.0000 0.0000 0.0000
V1 0.5000 0.5000 0.5000
Cd1 0.2500 0.2500 0.2500

=====

# 2
# PBE PmSm2ThS4, optimized geometry
# * symmetry: No. 10
# * total moment: 0.0 μB per cell
# * electronic total energy: -53.91 eV per cell
# * Fermi-level density of states: 3.300 states/eV per cell
# * formation energy without anion corrections: -190.4 kJ/mol of atoms
data_PmSm2ThS4
_symmetry_space_group_name_H-M 'P 1'
_symmetry_Int_Tables_number 1
_cell_length_a 6.9737
_cell_length_b 4.0041
_cell_length_c 6.9817
_cell_angle_alpha 90.00
_cell_angle_beta 109.30
_cell_angle_gamma 90.00
loop_
_symmetry_equiv_pos_as_xyz
'x,y,z'
loop_
_atom_site_label
_atom_site_fract_x
_atom_site_fract_y
_atom_site_fract_z
Pm1 0.0000 0.0000 0.0000
Sm1 0.0000 0.5000 0.5000
Sm2 0.5000 0.0000 0.5000
Th1 0.5000 0.5000 0.0000
S1 0.2480 0.0000 0.7465
S2 0.2505 0.5000 0.2525
S3 0.7495 0.5000 0.7475
S4 0.7520 0.0000 0.2535

=====

# 3
# PBE FeAsRh2, optimized geometry
# * symmetry: No. 12
# * total moment: 3.4 μB per cell
# * electronic total energy: -28.14 eV per cell
# * calculated formation energy: -0.0815 eV/atom
# * Fermi-level density of states: 4.689 states/eV per cell
data_FeAsRh2
_symmetry_space_group_name_H-M 'P 1'
_symmetry_Int_Tables_number 1
_cell_length_a 4.4095
_cell_length_b 4.4095
_cell_length_c 4.7919
_cell_angle_alpha 99.51
_cell_angle_beta 99.51
_cell_angle_gamma 38.37
loop_
_symmetry_equiv_pos_as_xyz
'x,y,z'
loop_
_atom_site_label
_atom_site_fract_x
_atom_site_fract_y
_atom_site_fract_z
Fe1 0.0000 0.0000 0.0000
As1 0.5000 0.5000 0.5000
Rh1 0.2513 0.2513 0.7521
Rh2 0.7487 0.7487 0.2479

=====

# 4
# PBE HoCo3, optimized geometry
# * symmetry: No. 51
# * total moment: 7.5 μB per cell
# * electronic total energy: -52.43 eV per cell
# * calculated formation energy: -0.0799 eV/atom
# * Fermi-level density of states: 10.757 states/eV per cell
data_HoCo3
_symmetry_space_group_name_H-M 'P 1'
_symmetry_Int_Tables_number 1
_cell_length_a 4.9029
_cell_length_b 3.8113
_cell_length_c 6.4689
_cell_angle_alpha 90.00
_cell_angle_beta 90.00
_cell_angle_gamma 90.00
loop_
_symmetry_equiv_pos_as_xyz
'x,y,z'
loop_
_atom_site_label
_atom_site_fract_x
_atom_site_fract_y
_atom_site_fract_z
Ho1 0.2500 0.0000 0.1797
Ho2 0.7500 0.0000 0.8203
Co1 0.0000 0.5000 0.5000
Co2 0.2500 0.0000 0.6267
Co3 0.2500 0.5000 0.8404
Co4 0.5000 0.5000 0.5000
Co5 0.7500 0.0000 0.3733
Co6 0.7500 0.5000 0.1596

=====

# 5
# PBE Na4DyZr3Se8, optimized geometry
# * symmetry: No. 166
# * total moment: 0.0 μB per cell
# * electronic total energy: -85.60 eV per cell
# * Fermi-level density of states: 7.696 states/eV per cell
# * formation energy without anion corrections: -133.9 kJ/mol of atoms
data_Na4DyZr3Se8
_symmetry_space_group_name_H-M 'P 1'
_symmetry_Int_Tables_number 1
_cell_length_a 8.4614
_cell_length_b 8.4614
_cell_length_c 8.4614
_cell_angle_alpha 55.13
_cell_angle_beta 55.13
_cell_angle_gamma 55.13
loop_
_symmetry_equiv_pos_as_xyz
'x,y,z'
loop_
_atom_site_label
_atom_site_fract_x
_atom_site_fract_y
_atom_site_fract_z
Na1 0.0000 0.0000 0.0000
Na2 0.0000 0.5000 0.5000
Na3 0.5000 0.0000 0.5000
Na4 0.5000 0.5000 0.0000
Dy1 0.5000 0.5000 0.5000
Zr1 0.0000 0.0000 0.5000
Zr2 0.0000 0.5000 0.0000
Zr3 0.5000 0.0000 0.0000
Se1 0.2341 0.7473 0.7473
Se2 0.2418 0.2418 0.2418
Se3 0.2527 0.2527 0.7659
Se4 0.2527 0.7659 0.2527
Se5 0.7473 0.2341 0.7473
Se6 0.7473 0.7473 0.2341
Se7 0.7582 0.7582 0.7582
Se8 0.7659 0.2527 0.2527

=====

# 6
# PBE U2RuC, optimized geometry
# * offset from the most stable computed form: 0.2618 eV per atom
# * symmetry: No. 166
# * total moment: 0.0 μB per cell
# * electronic total energy: -40.47 eV per cell
# * calculated formation energy: 0.1509 eV/atom
# * Fermi-level density of states: 6.663 states/eV per cell
data_U2RuC
_symmetry_space_group_name_H-M 'P 1'
_symmetry_Int_Tables_number 1
_cell_length_a 5.4079
_cell_length_b 5.4079
_cell_length_c 5.4079
_cell_angle_alpha 42.87
_cell_angle_beta 42.87
_cell_angle_gamma 42.87
loop_
_symmetry_equiv_pos_as_xyz
'x,y,z'
loop_
_atom_site_label
_atom_site_fract_x
_atom_site_fract_y
_atom_site_fract_z
U1 0.2260 0.2260 0.2260
U2 0.7740 0.7740 0.7740
Ru1 0.0000 0.0000 0.0000
C1 0.5000 0.5000 0.5000

=====

# 7
# PBE TmPa6S8, optimized geometry
# * symmetry: No. 148
# * total moment: 2.1 μB per cell
# * electronic total energy: -110.40 eV per cell
# * Fermi-level density of states: 22.036 states/eV per cell
# * formation energy without anion corrections: -102.5 kJ/mol of atoms
data_TmPa6S8
_symmetry_space_group_name_H-M 'P 1'
_symmetry_Int_Tables_number 1
_cell_length_a 7.1344
_cell_length_b 7.1344
_cell_length_c 7.1344
_cell_angle_alpha 89.47
_cell_angle_beta 89.47
_cell_angle_gamma 89.47
loop_
_symmetry_equiv_pos_as_xyz
'x,y,z'
loop_
_atom_site_label
_atom_site_fract_x
_atom_site_fract_y
_atom_site_fract_z
Tm1 0.0000 0.0000 0.0000
Pa1 0.1914 0.4152 0.5534
Pa2 0.4152 0.5534 0.1914
Pa3 0.4466 0.8086 0.5848
Pa4 0.5534 0.1914 0.4152
Pa5 0.5848 0.4466 0.8086
Pa6 0.8086 0.5848 0.4466
S1 0.1338 0.7703 0.3478
S2 0.2198 0.2198 0.2198
S3 0.2297 0.6522 0.8662
S4 0.3478 0.1338 0.7703
S5 0.6522 0.8662 0.2297
S6 0.7703 0.3478 0.1338
S7 0.7802 0.7802 0.7802
S8 0.8662 0.2297 0.6522

=====

# 8
# PBE RbNaSc2Cl8, optimized geometry
# * symmetry: No. 148
# * total moment: 0.0 μB per cell
# * electronic total energy: -53.54 eV per cell
# * Fermi-level density of states: 0.000 states/eV per cell
# * formation energy without anion corrections: -191.5 kJ/mol of atoms
data_RbNaSc2Cl8
_symmetry_space_group_name_H-M 'P 1'
_symmetry_Int_Tables_number 1
_cell_length_a 10.2685
_cell_length_b 10.2685
_cell_length_c 10.2685
_cell_angle_alpha 38.98
_cell_angle_beta 38.98
_cell_angle_gamma 38.98
loop_
_symmetry_equiv_pos_as_xyz
'x,y,z'
loop_
_atom_site_label
_atom_site_fract_x
_atom_site_fract_y
_atom_site_fract_z
Rb1 0.0000 0.0000 0.0000
Na1 0.5000 0.5000 0.5000
Sc1 0.2470 0.2470 0.2470
Sc2 0.7530 0.7530 0.7530
Cl1 0.1000 0.4363 0.7879
Cl2 0.2121 0.9000 0.5637
Cl3 0.3291 0.3291 0.3291
Cl4 0.4363 0.7879 0.1000
Cl5 0.5637 0.2121 0.9000
Cl6 0.6709 0.6709 0.6709
Cl7 0.7879 0.1000 0.4363
Cl8 0.9000 0.5637 0.2121